Na3Nd3CrO8, relaxed, DFT PBE with a Hubbard U; M_tot = 1.98 μB/cell; space group = C2/m; volume = 15.33 Å³ per atom; total DFT energy (no corrections) = -6.731 eV per atom
1.0
5.899 -3.459 0.000
5.899 3.459 0.000
-3.894 0.000 5.634
Na Nd Cr O
3 3 1 8
Cartesian
0.000 0.000 0.000
1.003 1.730 2.817
1.003 -1.730 2.817
2.950 1.730 0.000
2.950 -1.730 0.000
3.952 0.000 2.817
-1.947 0.000 2.817
-0.357 0.000 4.049
4.694 1.973 1.641
3.210 1.973 3.993
2.129 0.000 1.348
5.776 0.000 4.286
4.694 -1.973 1.641
3.210 -1.973 3.993
8.261 0.000 1.585


NaNdCrO4, relaxed, DFT PBE with a Hubbard U; D(E_F) = 0.26 states/eV/f.u.; M_tot = 4.00 μB/cell; space group = Imma; volume = 14.57 Å³ per atom; total DFT energy (no corrections) = -6.911 eV per atom
1.0
-3.077 3.577 4.633
3.077 -3.577 4.633
3.077 3.577 -4.633
Na Nd Cr O
2 2 2 8
Cartesian
0.000 1.789 1.124
3.077 1.789 3.508
3.077 0.000 0.000
0.000 0.000 4.633
1.539 1.789 -2.316
1.539 -1.789 2.316
3.077 3.125 -2.324
3.077 -0.452 2.324
1.615 1.789 -0.387
4.539 1.789 -0.387
-1.462 1.789 5.020
1.462 1.789 5.020
0.000 4.029 2.309
0.000 0.452 6.956


Na4Nd3CrO8, relaxed, DFT PBE with a Hubbard U; D(E_F) = 0.00 states/eV/f.u.; M_tot = 2.96 μB/cell; space group = R-3m; volume = 14.54 Å³ per atom; total DFT energy (no corrections) = -6.514 eV per atom
1.0
3.460 1.998 5.608
-3.460 1.998 5.608
0.000 -3.996 5.608
Na Nd Cr O
4 3 1 8
Cartesian
0.000 0.000 0.000
-1.730 -0.999 5.608
-1.730 0.999 11.217
0.000 1.998 5.608
-3.460 0.000 8.413
-1.730 0.999 2.804
1.730 0.999 2.804
0.000 0.000 8.413
0.000 0.000 4.045
-1.586 -0.916 9.589
0.000 -1.832 7.236
-1.586 0.916 7.236
1.586 -0.916 9.589
0.000 1.832 9.589
1.586 0.916 7.236
0.000 0.000 12.780